VASP calculation (PBE with a Hubbard U) on a geometry-optimized Zn2FeF structure.

POSCAR file:
```
Zn2FeF
1.0
0.0000 3.0832 3.0832
3.0832 0.0000 3.0832
3.0832 3.0832 0.0000
Zn Fe F
2 1 1
direct
0.2500 0.2500 0.2500 Zn
0.7500 0.7500 0.7500 Zn
0.0000 0.0000 0.0000 Fe
0.5000 0.5000 0.5000 F
```

Computed properties:
* calculated volume: 14.65 Å³ per atom
* magnetization: 0.7849 μB/atom
* symmetry: No. 225
* energy relative to the lowest polymorph listed for this composition: 360 meV per atom
* DOS at the Fermi energy: 3.3 states/eV/f.u.
* DFT total energy: -2.431 eV/atom